# TaBe2Te, optimized geometry, DFT GGA-PBE
# DFT total energy (eV per atom): -4.91
data_TaBe2Te
_chemical_formula_sum 'Ta4 Be8 Te4'
_symmetry_space_group_name_H-M 'I -4 2 d'
_symmetry_Int_Tables_number 122
_symmetry_space_group_name_Hall 'I -4 2bw'
_cell_length_a 6.711
_cell_length_b 6.711
_cell_length_c 5.733
_cell_angle_alpha 90.00
_cell_angle_beta 90.00
_cell_angle_gamma 90.00
loop_
_atom_site_label
_atom_site_type_symbol
_atom_site_fract_x
_atom_site_fract_y
_atom_site_fract_z
Ta1 Ta 0.000 0.000 0.000
Be1 Be 0.235 0.250 0.625
Te1 Te 0.000 0.000 0.500


# Ta2BeTe, optimized geometry, DFT GGA-PBE
# Polymorph energy (0 for the lowest one) (eV/f.u.): 0.728
data_Ta2BeTe
_chemical_formula_sum 'Ta2 Be1 Te1'
_symmetry_space_group_name_H-M 'P 1 2/m 1'
_symmetry_Int_Tables_number 10
_symmetry_space_group_name_Hall '-P 2y'
_cell_length_a 3.309
_cell_length_b 3.532
_cell_length_c 5.989
_cell_angle_alpha 90.00
_cell_angle_beta 99.24
_cell_angle_gamma 90.00
loop_
_atom_site_label
_atom_site_type_symbol
_atom_site_fract_x
_atom_site_fract_y
_atom_site_fract_z
Ta1 Ta 0.059 0.000 0.286
Be1 Be 0.500 0.500 0.500
Te1 Te 0.500 0.500 0.000


Number 1: volume 16.1 Å³ per atom. Number 2: volume 17.3 Å³ per atom.